VASP calculation (PBE) on a geometry-optimized Dy4Bi2Pb structure.

Lattice parameters (Å, degrees): 9.8012 9.8012 9.6027 90.00 90.00 90.00
With the nearest neighbours (Å) after each atom.
Space group I4_1/amd (No. 141, origin choice 2)
Symmetry-distinct sites (fractional):
Dy: 0.0000 0.0609 0.1869 (multiplicity 16)  3 Bi 3.07-3.13, 1 Pb 3.10
Bi: 0.0000 0.0000 0.5000 (multiplicity 8)  6 Dy 3.07-3.13
Pb: 0.0000 0.2500 0.8750 (multiplicity 4)  4 Dy 3.10

Calculated values
calculated formation energy = -491 meV/atom

***

VASP calculation (PBE) on a geometry-optimized B2AsO structure.

Lattice parameters (Å, degrees): 5.4235 5.4235 5.4235 90.00 90.00 90.00
With the nearest neighbours (Å) after each atom.
Space group Fm-3m (No. 225)
Symmetry-distinct sites (fractional):
B: 0.2500 0.2500 0.2500 (multiplicity 8)  4 O 2.35, 4 As 2.35
As: 0.0000 0.0000 0.0000 (multiplicity 4)  8 B 2.35
O: 0.0000 0.0000 0.5000 (multiplicity 4)  8 B 2.35

Calculated values
formation energy from raw total energies = 1558 meV per atom

***

VASP calculation (PBE) on a geometry-optimized ZnCr2Au structure.

Lattice parameters (Å, degrees): 6.2399 6.2399 6.2399 90.00 90.00 90.00
With the nearest neighbours (Å) after each atom.
Space group F-43m (No. 216)
Symmetry-distinct sites (fractional):
Zn: 0.0000 0.0000 0.0000 (multiplicity 4)  4 Cr 2.70, 4 Au 2.70
Cr: 0.0000 0.0000 0.5000 (multiplicity 4)  4 Au 2.70, 4 Cr 2.70
Cr: 0.2500 0.2500 0.2500 (multiplicity 4)  4 Cr 2.70, 4 Zn 2.70
Au: 0.2500 0.2500 0.7500 (multiplicity 4)  4 Cr 2.70, 4 Zn 2.70

Calculated values
calculated formation energy = 160 meV/atom

***

no.,total DFT energy (no corrections) (eV per cell)
1,-133.25
2,-66.93
3,-92.63